Below is a relaxed structure of TbHo4Hg, with properties calculated at the GGA-PBE level.

Geometry as extended XYZ:
```
12
Lattice="6.2834 -0.7297 0.0000 -2.5452 8.5595 0.0000 -1.8691 -3.9149 6.9280" Properties=species:S:1:pos:R:3 pbc="T T T"
Tb 0.2982 4.0973 1.2951
Tb 1.5708 -0.1824 5.6329
Ho 0.0899 0.8066 2.6117
Ho -1.1827 5.0863 4.3164
Ho -1.5446 1.9797 5.2737
Ho -1.5971 -1.6149 5.2737
Ho 1.7792 3.1083 4.3164
Ho 3.0518 -1.1714 2.6117
Ho 3.4662 5.5298 1.6543
Ho 3.4136 1.9352 1.6543
Hg 1.5708 -0.1824 0.0093
Hg 0.2982 4.0973 6.9187
```

Output
formation energy = -0.27 eV per formula unit

=====

Below is a relaxed structure of PmSm6Dy2Y3, with properties calculated at the GGA-PBE level.

Geometry as extended XYZ:
```
12
Lattice="6.2440 0.0002 0.0102 -3.1203 5.4085 0.0102 -1.0565 -1.8293 11.7162" Properties=species:S:1:pos:R:3 pbc="T T T"
Sm 2.0777 3.5975 2.9456
Sm -1.0448 1.8012 2.9369
Sm 2.0823 -0.0048 2.9369
Sm 3.1120 1.7781 8.7997
Sm -0.0105 -0.0182 8.7910
Sm -0.0151 3.5841 8.7997
Y 1.0336 1.7897 5.8683
Y 4.1527 -0.0117 5.8683
Y -2.0855 3.5911 5.8683
Dy 0.0019 3.6053 0.0102
Dy 3.1218 1.8034 0.0102
Pm 0.0000 0.0000 0.0000
```

Output
formation energy = 0.16 eV per formula unit

=====

Below is a relaxed structure of Tb7Pm16Nd6, with properties calculated at the GGA-PBE level.

Geometry as extended XYZ:
```
29
Lattice="9.8317 0.0000 5.6763 3.2772 9.2694 5.6763 0.0000 0.0000 11.3526" Properties=species:S:1:pos:R:3 pbc="T T T"
Pm 4.5744 3.2346 7.9231
Pm 6.5545 0.4344 11.3526
Pm 6.5544 8.8350 11.3526
Pm 11.4547 8.0997 14.2177
Pm 11.4547 8.0997 19.8402
Pm 8.5345 6.0348 14.7822
Pm 4.5744 3.2346 14.7822
Pm 9.8317 3.5090 17.0290
Pm 3.2772 5.7604 5.6763
Pm 2.5944 6.0348 11.3526
Pm 6.5856 8.0997 17.0290
Pm 1.6542 1.1697 2.8651
Pm 8.5345 6.0348 7.9231
Pm 6.5233 1.1697 5.6763
Pm 1.6542 1.1697 8.4875
Pm 10.5145 3.2346 11.3526
Nd 8.0571 2.5097 13.9552
Nd 3.5492 2.5097 11.3526
Nd 9.5597 6.7597 11.3526
Nd 5.0518 6.7597 13.9552
Nd 5.0518 6.7597 8.7500
Nd 8.0571 2.5097 8.7500
Tb 4.9158 0.0000 2.8382
Tb 0.0000 0.0000 0.0000
Tb 4.9158 0.0000 8.5145
Tb 6.5545 4.6347 5.6763
Tb 1.6386 4.6347 8.5145
Tb 0.0000 0.0000 5.6763
Tb 1.6386 4.6347 2.8382
```

Output
formation energy = 6.06 eV per formula unit

=====

Below is a relaxed structure of TaTe2Os, with properties calculated at the GGA-PBE level.

Geometry as extended XYZ:
```
4
Lattice="4.8633 0.0000 0.0000 2.4316 4.2117 0.0000 2.4316 1.4039 3.9708" Properties=species:S:1:pos:R:3 pbc="T T T"
Te 2.4316 1.4039 0.9927
Te 0.0000 0.0000 0.0000
Ta 7.2949 4.2117 2.9781
Os 4.8633 2.8078 1.9854
```

Output
formation energy (no corrections) = 0.922 eV/atom

=====

Below is a relaxed structure of LiTb2Ge2Rh5, with properties calculated at the GGA-PBE level.

Geometry as extended XYZ:
```
20
Lattice="-0.8791 0.8694 -3.2738 7.9882 -4.6755 -3.3866 -5.2153 -8.3238 -0.8100" Properties=species:S:1:pos:R:3 pbc="T T T"
Rh 3.5546 -1.9030 -3.3302
Rh 5.9465 -5.6488 -4.9672
Rh -1.0442 -5.6498 -3.0903
Rh 0.8636 -1.0783 -2.3886
Rh 1.0302 -11.0516 -5.0818
Rh 0.3984 -8.0896 -4.1256
Rh -3.0472 -3.7272 -2.0419
Rh 2.9380 -6.4801 -4.3801
Rh -4.0527 -6.4811 -2.5032
Rh 1.4955 -4.0403 -3.3449
Tb 4.4703 -4.5699 -2.4140
Tb -1.6973 -8.4293 -1.7827
Tb -0.3404 -3.5354 -0.8475
Tb 3.1133 -9.4638 -3.3492
Ge -2.2517 -5.8305 -0.9437
Ge 5.0246 -7.1688 -3.2530
Ge 0.4736 -10.1932 -2.8341
Ge 2.2993 -2.8060 -1.3626
Li 0.0000 0.0000 0.0000
Li 1.3865 -6.4996 -2.0983
```

Output
formation energy = -6.86 eV per formula unit

=====

Below is a relaxed structure of Sm2TiTc2N6, with properties calculated at the GGA-PBE level.

Geometry as extended XYZ:
```
11
Lattice="5.9141 0.0000 0.0000 2.9571 5.1218 0.0000 2.9571 1.7073 5.3851" Properties=species:S:1:pos:R:3 pbc="T T T"
N 5.9141 1.5645 1.3246
N 7.5163 2.4895 4.0605
N 4.3120 4.3395 1.3246
N 5.9141 5.2645 4.0605
N 7.5163 4.3395 1.3246
N 4.3120 2.4895 4.0605
Tc 5.9141 3.4145 1.5815
Tc 5.9141 3.4145 3.8036
Sm 2.9571 1.7073 2.1734
Sm 8.8712 5.1218 3.2117
Ti 0.0000 0.0000 0.0000
```

Output
formation energy (no corrections) = -0.542 eV/atom

=====

Below is a relaxed structure of AcSmHgPb, with properties calculated at the GGA-PBE level.

Geometry as extended XYZ:
```
4
Lattice="-2.4704 0.0038 5.0674 1.3727 -3.9238 3.8080 2.9618 1.4299 4.5787" Properties=species:S:1:pos:R:3 pbc="T T T"
Ac 0.0000 0.0000 0.0000
Hg 0.4660 -0.6225 3.3635
Pb 1.3981 -1.8676 10.0906
Sm 0.9320 -1.2451 6.7271
```

Output
formation energy = -1.84 eV per formula unit

=====

Below is a relaxed structure of RbRhSe2, with properties calculated at the GGA-PBE level.

Geometry as extended XYZ:
```
16
Lattice="16.6711 0.0000 1.1402 0.0000 4.6703 0.0000 -5.6915 0.0000 5.8774" Properties=species:S:1:pos:R:3 pbc="T T T"
Rh 6.0926 0.7292 2.5222
Rh -0.6028 3.0644 0.9866
Rh 11.5824 1.6059 6.0310
Rh 4.8870 3.9411 4.4954
Se 7.4503 0.8517 0.5139
Se 5.6891 1.5418 4.7836
Se 12.9401 1.4835 4.0227
Se 5.2905 3.1285 2.2340
Se 3.5293 3.8187 6.5038
Se -1.9605 3.1868 2.9949
Se 10.7803 3.8770 5.7428
Se 0.1993 0.7934 1.2748
Rb -1.9287 0.6659 5.7254
Rb 1.7269 3.0011 3.6608
Rb 9.2527 1.6692 3.3568
Rb 12.9083 4.0044 1.2922
```

Output
formation energy (no corrections) = -0.524 eV/atom

=====

Below is a relaxed structure of PmNd8Ho2, with properties calculated at the GGA-PBE level.

Geometry as extended XYZ:
```
11
Lattice="4.9905 0.0000 -1.3290 -0.5368 7.8946 -2.0156 -0.1029 -0.0824 9.6477" Properties=species:S:1:pos:R:3 pbc="T T T"
Pm 2.4952 0.0000 -0.6645
Nd 0.5588 1.4470 2.0981
Nd 1.4717 0.6538 5.5260
Nd 1.6586 4.2320 6.2280
Nd 3.7921 6.3652 4.2050
Nd 2.6922 3.5803 0.0751
Nd 2.8792 7.1585 0.7771
Nd -0.1675 5.7344 -0.6288
Nd 4.5183 2.0778 6.9319
Ho 3.6038 2.8395 3.4982
Ho 0.7470 4.9727 2.8049
```

Output
formation energy = 0.18 eV per formula unit

=====

Below is a relaxed structure of As2IrPbO8, with properties calculated at the GGA-PBE level.

Geometry as extended XYZ:
```
12
Lattice="4.9833 0.0000 0.0000 2.4916 4.3157 0.0000 2.4916 1.4386 8.1005" Properties=species:S:1:pos:R:3 pbc="T T T"
O 7.4750 4.3157 7.6156
O 4.1385 4.1292 5.4043
O 4.3213 4.2348 2.6963
O 2.4916 1.4386 0.4849
O 6.4901 2.7715 2.6963
O 4.1385 1.6250 2.6963
O 4.3213 1.5194 5.4043
O 6.4901 2.9827 5.4043
As 7.4749 4.3157 5.9054
As 2.4916 1.4386 2.1951
Pb 0.0000 0.0000 0.0000
Ir 4.9833 2.8771 4.0503
```

Output
formation energy (no corrections) = -0.831 eV/atom

=====

Below is a relaxed structure of ZnHg5, with properties calculated at the GGA-PBE level.

Geometry as extended XYZ:
```
6
Lattice="-0.5626 -2.4866 3.5768 0.7264 -3.6332 -2.4115 7.2966 2.3173 2.7587" Properties=species:S:1:pos:R:3 pbc="T T T"
Hg 5.2695 -2.7208 1.6344
Hg 5.1766 0.3384 1.0495
Hg 0.0819 -3.0599 0.5827
Hg 2.1909 -1.0817 2.2896
Hg 2.8464 -1.6543 -0.7023
Zn 0.0000 0.0000 0.0000
```

Output
formation energy = 0.52 eV per formula unit

=====

Below is a relaxed structure of CdInAg2, with properties calculated at the GGA-PBE level.

Geometry as extended XYZ:
```
4
Lattice="5.2166 0.0192 0.0000 1.5341 4.9860 0.0000 -3.3754 -2.5026 3.0915" Properties=species:S:1:pos:R:3 pbc="T T T"
Ag 0.0000 0.0000 0.0000
Ag 3.3754 2.5026 0.0000
Cd 0.7671 2.4930 1.5458
In 2.6083 0.0096 1.5458
```

Output
formation energy = -0.01 eV per formula unit

=====

Listing size of the total moment for the structures above in their given order: 0.00; 0.00; 0.00; 0.00; 0.00; 0.00; 0.00; 0.00; 0.00; 1.04; 0.00; 0.00 μB per cell.